# 1
Compound: PrHoScIn
Source: Alexandria via LeMat-Bulk
Functional: PBE
Structure: relaxed

The value obtained for the magnetic moment is 1.11 μB/f.u. For the formation enthalpy at 0 K, the calculation gives -159 meV/atom.

It has space group F-43m (No. 216), with a = 7.659 Å, b = 7.659 Å, c = 7.659 Å, α = 90.00°, β = 90.00° and γ = 90.00°. The distinct sites, in fractional coordinates, are Pr at (0.000, 0.000, 0.000), Ho at (0.000, 0.000, 0.500), Sc at (0.250, 0.250, 0.250) and In at (0.250, 0.250, 0.750).

=====

# 2
Compound: SrSiSb4
Source: Alexandria via LeMat-Bulk
Functional: PBE
Structure: relaxed

The value obtained for the magnetic moment is 0.00 μB/f.u. For the formation energy without anion corrections, the calculation gives 131 meV/atom.

It has space group F-43m (No. 216), with a = 8.873 Å, b = 8.873 Å, c = 8.873 Å, α = 90.00°, β = 90.00° and γ = 90.00°. The distinct sites, in fractional coordinates, are Sr at (0.000, 0.000, 0.000), Si at (0.250, 0.250, 0.250) and Sb at (0.124, 0.124, 0.624).

=====

# 3
Compound: Cr2FeCo
Source: Alexandria via LeMat-Bulk
Functional: PBE
Structure: relaxed

The value obtained for the magnetic moment is 0.65 μB/f.u. For the formation enthalpy at 0 K, the calculation gives 198 meV/atom.

It has space group R3m (No. 160, hexagonal axes), with a = 2.4855 Å, b = 2.4855 Å, c = 24.8068 Å, α = 90.00°, β = 90.00° and γ = 120.00°. The distinct sites, in fractional coordinates, are Cr at (0.0000, 0.0000, 0.0000), Cr at (0.0000, 0.0000, 0.2436), Fe at (0.0000, 0.0000, 0.4978) and Co at (0.0000, 0.0000, 0.7472).

=====

# 4
Compound: Hf2Pd2W
Source: Alexandria via LeMat-Bulk
Functional: PBE
Structure: relaxed

The value obtained for the magnetic moment is 0.00 μB/f.u. For the formation enthalpy at 0 K, the calculation gives -201 meV/atom.

It has space group P4/mbm (No. 127), with a = 7.634 Å, b = 7.634 Å, c = 3.106 Å, α = 90.00°, β = 90.00° and γ = 90.00°. The distinct sites, in fractional coordinates, are Hf at (0.176, 0.324, 0.000), Pd at (0.125, 0.625, 0.500) and W at (0.000, 0.000, 0.500).

=====

# 5
Compound: Cs2TbZn3F12
Source: Alexandria via LeMat-Bulk
Functional: PBE
Structure: relaxed

The value obtained for the magnetic moment is 0.00 μB/f.u. For the formation energy without anion corrections, the calculation gives -2745 meV/atom.

It has space group R-3m (No. 166, hexagonal axes), with a = 7.5072 Å, b = 7.5072 Å, c = 19.3482 Å, α = 90.00°, β = 90.00° and γ = 120.00°. The distinct sites, in fractional coordinates, are Cs at (0.0000, 0.0000, 0.1145), Tb at (0.0000, 0.0000, 0.5000), Zn at (0.0000, 0.5000, 0.0000), F at (0.0446, 0.5223, 0.1067) and F at (0.0749, 0.5374, 0.3435).

=====

# 6
Compound: CaGaPtO4
Source: Alexandria via LeMat-Bulk
Functional: PBE
Structure: relaxed

The value obtained for the magnetic moment is 1.24 μB/f.u. For the formation energy without anion corrections, the calculation gives -1393 meV/atom.

It has space group Cmcm (No. 63), with a = 6.071 Å, b = 9.078 Å, c = 6.982 Å, α = 90.00°, β = 90.00° and γ = 90.00°. The distinct sites, in fractional coordinates, are Ca at (0.000, 0.000, 0.000), Ga at (0.000, 0.377, 0.250), Pt at (0.000, 0.294, 0.750), O at (0.000, 0.262, 0.026) and O at (0.239, 0.495, 0.750).

=====

# 7
Compound: La12ThTl3
Source: Alexandria via LeMat-Bulk
Functional: PBE
Structure: relaxed

The value obtained for the magnetic moment is 0.00 μB/f.u. For the formation enthalpy at 0 K, the calculation gives -174 meV/atom.

It has space group P4/mmm (No. 123), with a = 5.093 Å, b = 5.093 Å, c = 20.430 Å, α = 90.00°, β = 90.00° and γ = 90.00°. The distinct sites, in fractional coordinates, are La at (0.000, 0.000, 0.000), La at (0.000, 0.000, 0.246), La at (0.000, 0.000, 0.500), La at (0.000, 0.500, 0.124), La at (0.000, 0.500, 0.375), Th at (0.500, 0.500, 0.500), Tl at (0.500, 0.500, 0.000) and Tl at (0.500, 0.500, 0.247).

=====

# 8
Compound: Na5TlCd2Hg2
Source: Alexandria via LeMat-Bulk
Functional: PBE
Structure: relaxed

The value obtained for the magnetic moment is 0.00 μB/f.u. For the formation enthalpy at 0 K, the calculation gives -89 meV/atom.

It has space group P4/mbm (No. 127), with a = 10.528 Å, b = 10.528 Å, c = 4.985 Å, α = 90.00°, β = 90.00° and γ = 90.00°. The distinct sites, in fractional coordinates, are Na at (0.000, 0.500, 0.000), Na at (0.103, 0.185, 0.000), Tl at (0.000, 0.000, 0.500), Cd at (0.161, 0.661, 0.500) and Hg at (0.134, 0.366, 0.500).

=====

# 9
Compound: BaGdTlGa
Source: Alexandria via LeMat-Bulk
Functional: PBE
Structure: relaxed

The value obtained for the magnetic moment is 7.46 μB/f.u. For the formation enthalpy at 0 K, the calculation gives -274 meV/atom.

It has space group F-43m (No. 216), with a = 7.948 Å, b = 7.948 Å, c = 7.948 Å, α = 90.00°, β = 90.00° and γ = 90.00°. The distinct sites, in fractional coordinates, are Ba at (0.000, 0.000, 0.000), Gd at (0.000, 0.000, 0.500), Tl at (0.250, 0.250, 0.250) and Ga at (0.250, 0.250, 0.750).

=====

# 10
Compound: TbY3Tm2S6
Source: Alexandria via LeMat-Bulk
Functional: PBE
Structure: relaxed

The value obtained for the magnetic moment is 0.00 μB/f.u. For the formation energy without anion corrections, the calculation gives -1980 meV/atom.

It has space group C2/m (No. 12), with a = 6.727 Å, b = 11.700 Å, c = 6.749 Å, α = 90.00°, β = 109.45° and γ = 90.00°. The distinct sites, in fractional coordinates, are Tb at (0.000, 0.000, 0.000), Y at (0.000, 0.164, 0.500), Y at (0.000, 0.500, 0.500), Tm at (0.000, 0.334, 0.000), S at (0.243, 0.500, 0.244) and S at (0.249, 0.331, 0.754).

=====

# 11
Compound: Zr2TlNi
Source: Alexandria via LeMat-Bulk
Functional: PBE
Structure: relaxed

The value obtained for the magnetic moment is 1.00 μB/f.u. For the formation enthalpy at 0 K, the calculation gives -16 meV/atom.

It has space group Fm-3m (No. 225), with a = 6.851 Å, b = 6.851 Å, c = 6.851 Å, α = 90.00°, β = 90.00° and γ = 90.00°. The distinct sites, in fractional coordinates, are Zr at (0.250, 0.250, 0.250), Tl at (0.000, 0.000, 0.000) and Ni at (0.000, 0.000, 0.500).

=====

# 12
Compound: Nb2AgCl
Source: Alexandria via LeMat-Bulk
Functional: PBE
Structure: relaxed

The value obtained for the magnetic moment is 0.00 μB/f.u. For the formation energy without anion corrections, the calculation gives 632 meV/atom.

It has space group I-42d (No. 122), with a = 3.996 Å, b = 3.996 Å, c = 19.520 Å, α = 90.00°, β = 90.00° and γ = 90.00°. The distinct sites, in fractional coordinates, are Nb at (0.248, 0.250, 0.125), Ag at (0.000, 0.000, 0.500) and Cl at (0.000, 0.000, 0.000).

=====

# 13
Compound: LiAsRh3
Source: Alexandria via LeMat-Bulk
Functional: PBE
Structure: relaxed

The value obtained for the magnetic moment is 0.00 μB/f.u. For the formation enthalpy at 0 K, the calculation gives 236 meV/atom.

It has space group Pm-3m (No. 221), with a = 4.560 Å, b = 4.560 Å, c = 4.560 Å, α = 90.00°, β = 90.00° and γ = 90.00°. The distinct sites, in fractional coordinates, are Li at (0.000, 0.000, 0.000), As at (0.500, 0.500, 0.500) and Rh at (0.000, 0.500, 0.500).

=====

# 14
Compound: Ce2Pr2Tl7
Source: Alexandria via LeMat-Bulk
Functional: PBE
Structure: relaxed

The value obtained for the magnetic moment is 2.33 μB/f.u. For the formation enthalpy at 0 K, the calculation gives 89 meV/atom.

It has space group Cmmm (No. 65), with a = 8.876 Å, b = 11.198 Å, c = 7.643 Å, α = 90.00°, β = 90.00° and γ = 90.00°. The distinct sites, in fractional coordinates, are Ce at (0.000, 0.202, 0.000), Pr at (0.185, 0.500, 0.500), Tl at (0.000, 0.000, 0.295), Tl at (0.000, 0.500, 0.000) and Tl at (0.250, 0.250, 0.295).

=====

# 15
Compound: OsPbCl2
Source: Alexandria via LeMat-Bulk
Functional: PBE
Structure: relaxed

The value obtained for the magnetic moment is 0.00 μB/f.u. For the formation energy without anion corrections, the calculation gives 375 meV/atom.

It has space group Cmmm (No. 65), with a = 3.082 Å, b = 5.759 Å, c = 11.077 Å, α = 90.00°, β = 90.00° and γ = 90.00°. The distinct sites, in fractional coordinates, are Os at (0.000, 0.000, 0.000), Pb at (0.000, 0.000, 0.500) and Cl at (0.000, 0.500, 0.164).

=====

# 16
Compound: AcPmAlSb
Source: Alexandria via LeMat-Bulk
Functional: PBE
Structure: relaxed

The value obtained for the magnetic moment is 0.00 μB/f.u. For the formation energy without anion corrections, the calculation gives -457 meV/atom.

It has space group F-43m (No. 216), with a = 7.858 Å, b = 7.858 Å, c = 7.858 Å, α = 90.00°, β = 90.00° and γ = 90.00°. The distinct sites, in fractional coordinates, are Ac at (0.000, 0.000, 0.000), Pm at (0.000, 0.000, 0.500), Al at (0.250, 0.250, 0.750) and Sb at (0.250, 0.250, 0.250).

=====

# 17
Compound: Zn2Ni5C
Source: Alexandria via LeMat-Bulk
Functional: PBE
Structure: relaxed

The value obtained for the magnetic moment is 0.00 μB/f.u. For the formation enthalpy at 0 K, the calculation gives 42 meV/atom.

It has space group P4/mmm (No. 123), with a = 5.021 Å, b = 5.021 Å, c = 3.804 Å, α = 90.00°, β = 90.00° and γ = 90.00°. The distinct sites, in fractional coordinates, are Zn at (0.000, 0.500, 0.000), Ni at (0.000, 0.000, 0.000), Ni at (0.261, 0.261, 0.500) and C at (0.000, 0.000, 0.500).

=====

# 18
Compound: Li2UBi2S6
Source: Alexandria via LeMat-Bulk
Functional: PBE
Structure: relaxed

The value obtained for the magnetic moment is 2.00 μB/f.u. For the formation energy without anion corrections, the calculation gives -897 meV/atom.

It has space group C2/m (No. 12), with a = 7.046 Å, b = 11.948 Å, c = 6.669 Å, α = 90.00°, β = 110.99° and γ = 90.00°. The distinct sites, in fractional coordinates, are Li at (0.000, 0.167, 0.000), U at (0.000, 0.000, 0.500), Bi at (0.000, 0.332, 0.500), S at (0.219, 0.000, 0.248) and S at (0.243, 0.165, 0.749).

=====

# 19
Compound: YHfZr2P4
Source: Alexandria via LeMat-Bulk
Functional: PBE
Structure: relaxed

The value obtained for the magnetic moment is 0.00 μB/f.u. For the formation enthalpy at 0 K, the calculation gives -1370 meV/atom.

It has space group P2/m (No. 10), with a = 6.573 Å, b = 3.784 Å, c = 6.578 Å, α = 90.00°, β = 109.34° and γ = 90.00°. The distinct sites, in fractional coordinates, are Y at (0.000, 0.000, 0.000), Hf at (0.500, 0.500, 0.000), Zr at (0.000, 0.500, 0.500), Zr at (0.500, 0.000, 0.500), P at (0.258, 0.000, 0.749) and P at (0.261, 0.500, 0.257).

=====

# 20
Compound: InBi2HPd
Source: Alexandria via LeMat-Bulk
Functional: PBE
Structure: relaxed

The value obtained for the magnetic moment is 0.00 μB/f.u. The total energy is -19.04 eV per cell.

It has space group P4/mmm (No. 123), with a = 5.689 Å, b = 5.689 Å, c = 3.452 Å, α = 90.00°, β = 90.00° and γ = 90.00°. The distinct sites, in fractional coordinates, are In at (0.000, 0.000, 0.000), Bi at (0.000, 0.500, 0.500), H at (0.500, 0.500, 0.000) and Pd at (0.500, 0.500, 0.500).